Entry 1:
Cs3LiIr | GGA-PBE | relaxed

## Properties
Fermi-level density of states in states/eV/f.u.: 5.45
Crystal system: cubic
Space group: Pm-3m, No. 221
DFT formation energy in eV per atom: 0.66
Volume in Å³/cell: 274.10

Cell: 6.4958 6.4958 6.4958 Å, 90.00 90.00 90.00°
Last column: nearest neighbours and their distance in Å.
Positions (direct):
Cs1 0.0000 0.0000 0.5000  2 Ir 3.25
Cs2 0.0000 0.5000 0.0000  2 Ir 3.25
Cs3 0.5000 0.0000 0.0000  2 Ir 3.25
Li1 0.5000 0.5000 0.5000  12 Cs 4.59
Ir1 0.0000 0.0000 0.0000  6 Cs 3.25

---

Entry 2:
Tb8Dy5Th | GGA-PBE | relaxed

## Properties
Fermi-level density of states in states/eV/f.u.: 24.20
Crystal system: tetragonal
Space group: I-4, No. 82
DFT formation energy in eV per atom: 0.29
Volume in Å³/cell: 462.03

Cell: 8.4404 8.4405 8.4404 Å, 110.92 106.61 110.92°
Last column: nearest neighbours and their distance in Å.
Positions (direct):
Tb1 0.5238 0.6049 0.2669  5 Dy 3.32-3.53, 3 Tb 3.58-3.61
Tb2 0.3408 0.2656 0.4236  5 Dy 3.15-3.51, 1 Th 3.24
Tb3 0.1580 0.7344 0.0751  5 Dy 3.15-3.51, 1 Th 3.24
Tb4 0.0811 0.7431 0.4762  5 Dy 3.32-3.53, 3 Tb 3.58-3.61
Tb5 0.9249 0.0828 0.6592  5 Dy 3.15-3.51, 1 Th 3.24
Tb6 0.6620 0.3951 0.9189  5 Dy 3.32-3.53, 3 Tb 3.58-3.61
Tb7 0.5764 0.9172 0.8420  5 Dy 3.15-3.51, 1 Th 3.24
Tb8 0.7331 0.2569 0.3380  5 Dy 3.32-3.53, 3 Tb 3.58-3.61
Dy1 0.8679 0.9032 0.1900  8 Tb 3.32-3.53, 2 Dy 3.58
Dy2 0.5000 0.0000 0.5000  8 Tb 3.15-3.32
Dy3 0.0352 0.3221 0.1321  8 Tb 3.32-3.53, 2 Dy 3.58
Dy4 0.8100 0.6779 0.7132  8 Tb 3.32-3.53, 2 Dy 3.58
Dy5 0.2868 0.0968 0.9648  8 Tb 3.32-3.53, 2 Dy 3.58
Th1 0.2500 0.5000 0.7500  4 Tb 3.24

---

Entry 3:
HgSCl2 | GGA-PBE | relaxed

## Properties
Fermi-level density of states in states/eV/f.u.: 1.47
Crystal system: cubic
Space group: Fm-3m, No. 225
Energy relative to the elements, uncorrected in eV per atom: 0.51
Energy above the most stable polymorph in this dataset in meV per atom: 782
Volume in Å³/cell: 89.07

Cell: 5.0128 5.0128 5.0128 Å, 60.00 60.00 60.00°
Last column: nearest neighbours and their distance in Å.
Positions (direct):
Cl1 0.2500 0.2500 0.2500  4 S 3.07, 4 Hg 3.07
Cl2 0.7500 0.7500 0.7500  4 Hg 3.07, 4 S 3.07
S1 0.0000 0.0000 0.0000  8 Cl 3.07
Hg1 0.5000 0.5000 0.5000  8 Cl 3.07

---

Entry 4:
BaPmP2Se8 | GGA-PBE | relaxed

## Properties
Fermi-level density of states in states/eV/f.u.: 10.72
Crystal system: trigonal
Space group: P-3, No. 147
Energy relative to the elements, uncorrected in eV per atom: -0.70
Volume in Å³/cell: 340.78

Cell: 6.3322 6.3322 9.8137 Å, 90.00 90.00 120.00°
Last column: nearest neighbours and their distance in Å.
Positions (direct):
P1 0.6667 0.3333 0.2411  4 Se 2.21-2.25
P2 0.3333 0.6667 0.7589  4 Se 2.21-2.25
Se1 0.6667 0.3333 0.0159  1 P 2.21
Se2 0.6543 0.6283 0.6952  1 P 2.25
Se3 0.3457 0.3717 0.3048  1 P 2.25
Se4 0.9740 0.3457 0.6952  1 P 2.25
Se5 0.3717 0.0260 0.6952  1 P 2.25
Se6 0.3333 0.6667 0.9841  1 P 2.21
Se7 0.6283 0.9740 0.3048  1 P 2.25
Se8 0.0260 0.6543 0.3048  1 P 2.25
Ba1 0.0000 0.0000 0.0000  12 Se 3.66-3.76
Pm1 0.0000 0.0000 0.5000  6 Se 2.97

---

Entry 5:
Sm6GeTe2S3 | GGA-PBE | relaxed

## Properties
Fermi-level density of states in states/eV/f.u.: 5.17
Crystal system: monoclinic
Space group: C2/m, No. 12
Energy relative to the elements, uncorrected in eV per atom: -1.64
Volume in Å³/cell: 315.38

Cell: 7.2735 7.2735 7.2888 Å, 99.61 99.61 119.84°
Last column: nearest neighbours and their distance in Å.
Positions (direct):
Sm1 0.2188 0.2188 0.7260  3 S 2.87-3.03, 1 Ge 2.94, 2 Te 3.14
Sm2 0.4029 0.0909 0.2750  3 S 2.82-2.95, 1 Ge 2.95, 2 Te 3.14-3.15
Sm3 0.9091 0.5971 0.7250  3 S 2.82-2.95, 1 Ge 2.95, 2 Te 3.14-3.15
Sm4 0.0909 0.4029 0.2750  3 S 2.82-2.95, 1 Ge 2.95, 2 Te 3.14-3.15
Sm5 0.5971 0.9091 0.7250  3 S 2.82-2.95, 1 Ge 2.95, 2 Te 3.14-3.15
Sm6 0.7812 0.7812 0.2740  3 S 2.87-3.03, 1 Ge 2.94, 2 Te 3.14
S1 0.8274 0.1726 0.5000  6 Sm 2.82-2.95
S2 0.1726 0.8274 0.5000  6 Sm 2.82-2.95
S3 0.5000 0.5000 0.5000  6 Sm 2.82-3.03
Te1 0.3340 0.6660 0.0000  6 Sm 3.14-3.15
Te2 0.6660 0.3340 0.0000  6 Sm 3.14-3.15
Ge1 0.0000 0.0000 0.0000  6 Sm 2.94-2.95

---

Entry 6:
CaAg2P | GGA-PBE | relaxed

## Properties
Fermi-level density of states in states/eV/f.u.: 1.86
Crystal system: tetragonal
Space group: P4/mmm, No. 123
DFT formation energy in eV per atom: -0.24
Volume in Å³/cell: 80.12

Cell: 4.1158 4.1158 4.7297 Å, 90.00 90.00 90.00°
Last column: nearest neighbours and their distance in Å.
Positions (direct):
Ag1 0.0000 0.0000 0.0000  4 Ag 2.91, 4 Ca 3.13, 4 P 3.13
Ag2 0.5000 0.5000 0.0000  4 Ag 2.91, 4 Ca 3.13, 4 P 3.13
Ca1 0.5000 0.0000 0.5000  4 P 2.91, 8 Ag 3.13
P1 0.0000 0.5000 0.5000  4 Ca 2.91, 8 Ag 3.13

---

Entry 7:
Tb3Pm2Er2 | GGA-PBE | relaxed

## Properties
Fermi-level density of states in states/eV/f.u.: 10.62
Crystal system: monoclinic
Space group: C2/m, No. 12
DFT formation energy in eV per atom: 0.12
Energy above the most stable polymorph in this dataset in meV per atom: 102
Volume in Å³/cell: 229.13

Cell: 3.5077 8.5426 8.9342 Å, 118.59 101.32 90.00°
Last column: nearest neighbours and their distance in Å.
Positions (direct):
Er1 0.8505 0.6671 0.7010  4 Er 3.51-3.72, 4 Tb 3.54-3.59, 4 Pm 3.61-3.74
Er2 0.1495 0.3329 0.2990  4 Er 3.51-3.72, 4 Tb 3.54-3.59, 4 Pm 3.61-3.74
Pm1 0.4338 0.0877 0.8676  3 Pm 3.32-3.51, 5 Tb 3.45-3.60, 2 Er 3.61
Pm2 0.5662 0.9123 0.1324  3 Pm 3.32-3.51, 5 Tb 3.45-3.60, 2 Er 3.61
Tb1 0.0000 0.5000 0.0000  4 Tb 3.32-3.51, 2 Er 3.54, 4 Pm 3.58
Tb2 0.2116 0.7983 0.4232  5 Tb 3.32-3.51, 3 Pm 3.45-3.60, 3 Er 3.57-3.59
Tb3 0.7884 0.2017 0.5768  5 Tb 3.32-3.51, 3 Pm 3.45-3.60, 3 Er 3.57-3.59

---

Entry 8:
NpCoSi2Ni | GGA-PBE | relaxed

## Properties
Fermi-level density of states in states/eV/f.u.: 9.06
Crystal system: tetragonal
Space group: I-4m2, No. 119
Energy relative to the elements, uncorrected in eV per atom: -0.52
Volume in Å³/cell: 74.21

Cell: 3.8903 3.8903 5.6220 Å, 110.24 110.24 90.00°
Last column: nearest neighbours and their distance in Å.
Positions (direct):
Co1 0.7500 0.2500 0.5000  4 Si 2.30
Si1 0.6245 0.6245 0.2489  2 Co 2.30, 2 Ni 2.30, 1 Si 2.44
Si2 0.3755 0.3755 0.7511  2 Co 2.30, 2 Ni 2.30, 1 Si 2.44
Ni1 0.2500 0.7500 0.5000  4 Si 2.30
Np1 0.0000 0.0000 0.0000  8 Si 3.01, 4 Co 3.13, 4 Ni 3.13

---

Entry 9:
ScBe2In | GGA-PBE | relaxed

## Properties
Fermi-level density of states in states/eV/f.u.: 1.28
Crystal system: tetragonal
Space group: I-4m2, No. 119
DFT formation energy in eV per atom: 0.24
Volume in Å³/cell: 63.57

Cell: 4.5019 4.5019 4.5019 Å, 120.94 120.94 88.37°
Last column: nearest neighbours and their distance in Å.
Positions (direct):
Be1 0.2500 0.7500 0.5000  4 In 2.74, 4 Be 2.74
Be2 0.0000 0.0000 0.0000  4 Be 2.74, 4 Sc 2.74
In1 0.5000 0.5000 0.0000  4 Sc 2.74, 4 Be 2.74
Sc1 0.7500 0.2500 0.5000  4 Be 2.74, 4 In 2.74